SrCoMoO6: optimized geometry, PBE with a Hubbard U.

Properties
DFT total energy (eV per atom): -6.517
SG: No. 5

Cell and atoms, written as extended XYZ:
```
9
Lattice="-3.6482 -2.6543 -2.3803 -0.6655 -4.9344 1.1090 -3.4907 1.3298 3.9077" Properties=species:S:1:pos:R:3 pbc="T T T"
Sr -7.8023 -6.2551 2.6371
Co -4.6299 -4.4096 1.1039
Mo -3.1801 -1.8590 1.5311
O -4.9302 -4.1604 -0.7652
O -4.5268 -5.0060 2.9146
O -4.9481 -2.6336 1.7067
O -6.4662 -4.7528 1.0581
O -2.8846 -3.6752 0.9214
O -3.9671 -6.1309 0.8036
```